## Zn2W3O8 (PBE with a Hubbard U)

Data for a relaxed Zn2W3O8 crystal.

* calculated total energy: -84.9 eV per cell
* total magnetic moment: 0.308 μB/atom

a = 6.113 Å, b = 6.113 Å, c = 5.585 Å
α = 107.64°, β = 107.64°, γ = 57.93°
Element x y z (fractional)
Zn  0.173  0.173  0.110
Zn  0.827  0.827  0.890
W  0.257  0.743  0.500
W  0.500  0.500  0.000
W  0.743  0.257  0.500
O  0.113  0.113  0.725
O  0.156  0.636  0.746
O  0.364  0.844  0.254
O  0.375  0.375  0.234
O  0.625  0.625  0.766
O  0.636  0.156  0.746
O  0.844  0.364  0.254
O  0.887  0.887  0.275